[1]
A plane-wave DFT calculation with GGA-PBE was carried out for a relaxed Sr5Zn crystal.

```
Sr5Zn
1.0
7.122 -2.102 0.000
7.122 2.102 0.000
-3.798 0.000 9.309
Sr Zn
5 1
Cartesian
0.000 0.000 0.000
-0.929 0.000 3.833
3.623 0.000 1.490
2.696 0.000 5.324
6.571 0.000 7.315
8.474 0.000 2.670
```

Summary:
N(E_F) = 8.383 states/eV per cell
ΔE_f = -0.025 eV/atom
Relative energy among the computed polymorphs = 0.033 eV per atom
Theoretical density = 3.0 Mg/m³
Crystal system = monoclinic
Total DFT energy (no corrections) = -0.060 Ha/atom
Size of the total moment = 0.0 μB/f.u.


[2]
A plane-wave DFT calculation with GGA-PBE was carried out for a relaxed Pm7Y4Th crystal.

```
Pm7Y4Th
1.0
6.076 -3.032 0.000
6.076 3.032 0.000
-6.001 0.000 11.281
Pm Y Th
7 4 1
Cartesian
0.000 0.000 0.000
-2.981 0.000 10.392
-1.175 0.000 7.639
1.510 0.000 5.657
4.640 0.000 5.623
7.325 0.000 3.642
9.131 0.000 0.889
-1.107 0.000 3.591
3.056 0.000 2.518
3.094 0.000 8.763
7.257 0.000 7.690
6.076 0.000 0.000
```

Summary:
N(E_F) = 17.087 states/eV per cell
ΔE_f = 0.272 eV/atom
Relative energy among the computed polymorphs = 0.263 eV per atom
Theoretical density = 6.4 Mg/m³
Crystal system = monoclinic
Total DFT energy (no corrections) = -0.194 Ha/atom
Size of the total moment = 0.0 μB/f.u.


[3]
A plane-wave DFT calculation with GGA-PBE was carried out for a relaxed KMn2Ir crystal.

```
KMn2Ir
1.0
-2.699 2.699 8.032
2.699 -2.699 8.032
2.699 2.699 -8.032
K Mn Ir
2 4 2
Cartesian
2.699 1.349 2.008
0.000 1.349 6.024
0.000 0.000 0.000
1.349 1.349 -4.016
1.349 -1.349 4.016
0.000 2.699 0.000
2.699 -1.349 6.024
0.000 4.048 2.008
```

Summary:
N(E_F) = 7.666 states/eV per cell
ΔE_f = 0.911 eV/atom
Relative energy among the computed polymorphs = 0.418 eV per atom
Theoretical density = 4.8 Mg/m³
Crystal system = tetragonal
Total DFT energy (no corrections) = -0.227 Ha/atom
Size of the total moment = 7.9 μB/f.u.


[4]
A plane-wave DFT calculation with GGA-PBE was carried out for a relaxed LiSi2Tc crystal.

```
LiSi2Tc
1.0
0.000 2.936 2.936
2.936 0.000 2.936
2.936 2.936 0.000
Li Si Tc
1 2 1
Cartesian
0.000 0.000 0.000
2.936 2.936 2.936
4.404 4.404 4.404
1.468 1.468 1.468
```

Summary:
N(E_F) = 2.160 states/eV per cell
Relative energy among the computed polymorphs = 0.437 eV per atom
Theoretical density = 5.3 Mg/m³
Crystal system = cubic
Total DFT energy (no corrections) = -0.207 Ha/atom
Size of the total moment = 0.0 μB/f.u.
Formation energy (no corrections) = 138 meV per atom